# LaNpU | the Open Quantum Materials Database | PBE | relaxed
data_LaNpU
_symmetry_space_group_name_H-M 'P 1'
_symmetry_Int_Tables_number 1
_symmetry_space_group_name_Hall 'P 1'
_cell_length_a 4.8141
_cell_length_b 4.8141
_cell_length_c 4.8141
_cell_angle_alpha 60.00
_cell_angle_beta 60.00
_cell_angle_gamma 60.00
loop_
_atom_site_label
_atom_site_fract_x
_atom_site_fract_y
_atom_site_fract_z
_atom_site_occupancy
Np1 0.7500 0.7500 0.7500 1
La1 0.2500 0.2500 0.2500 1
U1 0.0000 0.0000 0.0000 1
# Formation energy from the elements = 1.13 eV/atom
# Excess energy over the best structure of this formula in the dataset = 0.000 eV/atom

# LaZrNp | the Open Quantum Materials Database | PBE | relaxed
data_LaZrNp
_symmetry_space_group_name_H-M 'P 1'
_symmetry_Int_Tables_number 1
_symmetry_space_group_name_Hall 'P 1'
_cell_length_a 5.0491
_cell_length_b 5.0491
_cell_length_c 5.0491
_cell_angle_alpha 60.00
_cell_angle_beta 60.00
_cell_angle_gamma 60.00
loop_
_atom_site_label
_atom_site_fract_x
_atom_site_fract_y
_atom_site_fract_z
_atom_site_occupancy
Zr1 0.0000 0.0000 0.0000 1
La1 0.5000 0.5000 0.5000 1
Np1 0.2500 0.2500 0.2500 1
# Formation energy from the elements = 1.10 eV/atom
# Excess energy over the best structure of this formula in the dataset = 0.000 eV/atom

Computed, not measured: a relaxed structure of LaOsO3 at the PBE level of DFT.

```
data_LaOsO3
_symmetry_space_group_name_H-M 'P 1'
_symmetry_Int_Tables_number 1
_symmetry_space_group_name_Hall 'P 1'
_cell_length_a 5.7781
_cell_length_b 5.7781
_cell_length_c 5.8064
_cell_angle_alpha 60.16
_cell_angle_beta 60.16
_cell_angle_gamma 60.00
loop_
_atom_site_label
_atom_site_fract_x
_atom_site_fract_y
_atom_site_fract_z
_atom_site_occupancy
Os1 0.8362 0.8362 0.4914 1
Os2 0.1638 0.1638 0.5086 1
La1 0.6330 0.6330 0.1010 1
La2 0.3670 0.3670 0.8990 1
O1 0.4347 0.7998 0.7109 1
O2 0.5653 0.2002 0.2891 1
O3 0.9453 0.5653 0.2891 1
O4 0.0547 0.4347 0.7109 1
O5 0.7998 0.0547 0.7109 1
O6 0.2002 0.9453 0.2891 1
```

Computed, not measured: a relaxed structure of La4Os6O19 at the PBE level of DFT.

```
data_La4Os6O19
_symmetry_space_group_name_H-M 'P 1'
_symmetry_Int_Tables_number 1
_symmetry_space_group_name_Hall 'P 1'
_cell_length_a 7.8298
_cell_length_b 7.8298
_cell_length_c 7.8298
_cell_angle_alpha 109.47
_cell_angle_beta 109.47
_cell_angle_gamma 109.47
loop_
_atom_site_label
_atom_site_fract_x
_atom_site_fract_y
_atom_site_fract_z
_atom_site_occupancy
O1 0.6783 0.7365 0.3758 1
O2 0.0000 0.0000 0.0000 1
O3 0.6242 0.3607 0.3025 1
O4 0.3025 0.6242 0.3607 1
O5 0.6975 0.0582 0.3217 1
O6 0.9418 0.6393 0.2635 1
O7 0.0000 0.6776 0.6776 1
O8 0.7365 0.3758 0.6783 1
O9 0.6776 0.6776 0.0000 1
O10 0.3607 0.3025 0.6242 1
O11 0.0582 0.3217 0.6975 1
O12 0.3224 0.0000 0.3224 1
O13 0.0000 0.3224 0.3224 1
O14 0.3224 0.3224 0.0000 1
O15 0.6776 0.0000 0.6776 1
O16 0.3217 0.6975 0.0582 1
O17 0.2635 0.9418 0.6393 1
O18 0.6393 0.2635 0.9418 1
O19 0.3758 0.6783 0.7365 1
La1 0.0000 0.3168 0.0000 1
La2 0.3168 0.0000 0.0000 1
La3 0.0000 0.0000 0.3168 1
La4 0.6832 0.6832 0.6832 1
Os1 0.5000 0.1374 0.6374 1
Os2 0.6374 0.5000 0.1374 1
Os3 0.5000 0.8626 0.3626 1
Os4 0.3626 0.5000 0.8626 1
Os5 0.1374 0.6374 0.5000 1
Os6 0.8626 0.3626 0.5000 1
```

# La2Os2O5 | the Open Quantum Materials Database | PBE | relaxed
data_La2Os2O5
_symmetry_space_group_name_H-M 'P 1'
_symmetry_Int_Tables_number 1
_symmetry_space_group_name_Hall 'P 1'
_cell_length_a 9.9112
_cell_length_b 3.5909
_cell_length_c 3.5909
_cell_angle_alpha 90.00
_cell_angle_beta 90.00
_cell_angle_gamma 90.00
loop_
_atom_site_label
_atom_site_fract_x
_atom_site_fract_y
_atom_site_fract_z
_atom_site_occupancy
La1 0.7331 0.5000 0.5000 1
La2 0.2669 0.5000 0.5000 1
Os1 0.0000 0.0000 0.0000 1
Os2 0.5000 0.0000 0.0000 1
O1 0.1158 0.5000 0.0000 1
O2 0.1158 0.0000 0.5000 1
O3 0.8842 0.0000 0.5000 1
O4 0.8842 0.5000 0.0000 1
O5 0.5000 0.5000 0.5000 1
# Excess energy over the best structure of this formula in the dataset = 0.577 eV/atom

Computed, not measured: a relaxed structure of La2OsO5 at the PBE level of DFT.

```
data_La2OsO5
_symmetry_space_group_name_H-M 'P 1'
_symmetry_Int_Tables_number 1
_symmetry_space_group_name_Hall 'P 1'
_cell_length_a 6.9844
_cell_length_b 6.9844
_cell_length_c 6.9844
_cell_angle_alpha 100.55
_cell_angle_beta 100.55
_cell_angle_gamma 129.32
loop_
_atom_site_label
_atom_site_fract_x
_atom_site_fract_y
_atom_site_fract_z
_atom_site_occupancy
Os1 0.8164 0.8164 0.0000 1
Os2 0.1836 0.1836 0.0000 1
O1 0.7500 0.2500 0.5000 1
O2 0.9300 0.6458 0.0928 1
O3 0.6458 0.5529 0.7158 1
O4 0.4471 0.1628 0.0928 1
O5 0.1628 0.0700 0.7158 1
O6 0.2500 0.7500 0.5000 1
O7 0.0700 0.3542 0.9072 1
O8 0.5529 0.8372 0.9072 1
O9 0.3542 0.4471 0.2842 1
O10 0.8372 0.9300 0.2842 1
La1 0.3953 0.8181 0.2134 1
La2 0.8181 0.6047 0.4229 1
La3 0.6047 0.1819 0.7866 1
La4 0.1819 0.3953 0.5771 1
```

# La2Os2O5 | the Open Quantum Materials Database | PBE | relaxed
data_La2Os2O5
_symmetry_space_group_name_H-M 'P 1'
_symmetry_Int_Tables_number 1
_symmetry_space_group_name_Hall 'P 1'
_cell_length_a 7.1598
_cell_length_b 3.9923
_cell_length_c 3.9923
_cell_angle_alpha 90.00
_cell_angle_beta 90.00
_cell_angle_gamma 90.00
loop_
_atom_site_label
_atom_site_fract_x
_atom_site_fract_y
_atom_site_fract_z
_atom_site_occupancy
O1 0.5000 0.5000 0.5000 1
O2 0.7635 0.5000 0.0000 1
O3 0.2365 0.5000 0.0000 1
O4 0.2365 0.0000 0.5000 1
O5 0.7635 0.0000 0.5000 1
Os1 0.1912 0.5000 0.5000 1
Os2 0.8088 0.5000 0.5000 1
La1 0.0000 0.0000 0.0000 1
La2 0.5000 0.0000 0.0000 1
# Excess energy over the best structure of this formula in the dataset = 0.000 eV/atom

Computed, not measured: a relaxed structure of LaOsO3 at the PBE level of DFT.

```
data_LaOsO3
_symmetry_space_group_name_H-M 'P 1'
_symmetry_Int_Tables_number 1
_symmetry_space_group_name_Hall 'P 1'
_cell_length_a 3.9813
_cell_length_b 3.9813
_cell_length_c 4.0841
_cell_angle_alpha 90.00
_cell_angle_beta 90.00
_cell_angle_gamma 90.00
loop_
_atom_site_label
_atom_site_fract_x
_atom_site_fract_y
_atom_site_fract_z
_atom_site_occupancy
O1 0.0000 0.5000 0.6220 1
O2 0.5000 0.0000 0.6220 1
O3 0.5000 0.5000 0.0756 1
La1 0.0000 0.0000 0.0076 1
Os1 0.5000 0.5000 0.5729 1
```

The following raw total energy values (in Ry per atom) correspond, in order, to the records above: -0.627, -0.562, -0.584, -0.596, -0.556, -0.613, -0.598, -0.585.
The following magnetization values (in μB per formula unit) correspond, in order, to the records above: 5.71, 6.15, 1.00, 1.69, 1.18, 0.00, 0.00, 0.00.